Record 1
VASP calculation (GGA-PBE) on crystalline Pu3UP4 at its relaxed geometry.

It has space group Cmmm (No. 65), with a = 7.9339 Å, b = 11.2397 Å, c = 3.9653 Å, α = 90.00°, β = 90.00° and γ = 90.00°. The distinct sites, in fractional coordinates, are Pu at (0.0000, 0.0000, 0.0000), Pu at (0.2500, 0.2500, 0.5000), U at (0.0000, 0.5000, 0.0000), P at (0.0000, 0.2537, 0.0000) and P at (0.2459, 0.5000, 0.5000).

The value obtained for the formation energy is -1.080 eV/atom. The energy above the most stable polymorph in this dataset is 0.023 eV/atom. The density of states at the Fermi level comes out at 32.5 states/eV/f.u.

Record 2
VASP calculation (GGA-PBE) on crystalline Pu2UP at its relaxed geometry.

It has space group P4/mmm (No. 123), with a = 3.6312 Å, b = 3.6312 Å, c = 5.9623 Å, α = 90.00°, β = 90.00° and γ = 90.00°. The distinct sites, in fractional coordinates, are Pu at (0.0000, 0.0000, 0.2349), U at (0.5000, 0.5000, 0.5000) and P at (0.5000, 0.5000, 0.0000).

The value obtained for the formation energy is -0.353 eV/atom. The energy above the most stable polymorph in this dataset is 0.023 eV/atom. The density of states at the Fermi level comes out at 11.9 states/eV/f.u.

Record 3
VASP calculation (GGA-PBE) on crystalline PuUP2 at its relaxed geometry.

It has space group P4/mmm (No. 123), with a = 4.7919 Å, b = 4.7919 Å, c = 3.4040 Å, α = 90.00°, β = 90.00° and γ = 90.00°. The distinct sites, in fractional coordinates, are Pu at (0.0000, 0.0000, 0.0000), U at (0.5000, 0.5000, 0.0000) and P at (0.0000, 0.5000, 0.5000).

The value obtained for the formation energy is -0.852 eV/atom. The energy above the most stable polymorph in this dataset is 0.212 eV/atom. The density of states at the Fermi level comes out at 9.3 states/eV/f.u.